Compound: Hf4SiS
Source: Alexandria via LeMat-Bulk
Functional: PBE
Structure: optimized geometry

The calculation puts the total energy at -8.84 eV per atom. The calculation puts the density of states at the Fermi level at 8.97 states/eV/cell.

The structure belongs to space group P2_1/c (No. 14); the cell edges are 6.077, 3.491 and 12.925 Å and the angles 90.00°, 117.94° and 90.00°. Symmetry generates all atoms from Hf at (0.188, 0.001, 0.356), Hf at (0.311, 0.003, 0.143), Si at (0.500, 0.000, 0.000) and S at (0.000, 0.000, 0.500).

***

Compound: HfSiS
Source: Alexandria via LeMat-Bulk
Functional: PBE
Structure: optimized geometry

The calculation puts the total energy at -7.65 eV per atom. The calculation puts the density of states at the Fermi level at 0.93 states/eV/cell.

The structure belongs to space group P4/nmm (No. 129, origin choice 2); the cell edges are 3.537, 3.537 and 8.010 Å and the angles 90.00°, 90.00° and 90.00°. Symmetry generates all atoms from Hf at (0.250, 0.250, 0.231), Si at (0.250, 0.750, 0.500) and S at (0.250, 0.250, 0.880).

***

Compound: HfSiS2
Source: Alexandria via LeMat-Bulk
Functional: PBE
Structure: optimized geometry

The polymorph energy (0 for the lowest one) is 0.00 kcal/mol of atoms. The calculation puts the total energy at -6.63 eV per atom. The calculation puts the density of states at the Fermi level at 5.90 states/eV/cell.

The structure belongs to space group R-3m (No. 166, hexagonal axes); the cell edges are 3.4566, 3.4566 and 24.6259 Å and the angles 90.00°, 90.00° and 120.00°. Symmetry generates all atoms from Hf at (0.0000, 0.0000, 0.0000), Si at (0.0000, 0.0000, 0.5000) and S at (0.0000, 0.0000, 0.3970).

***

Compound: HfSiS2
Source: Alexandria via LeMat-Bulk
Functional: PBE
Structure: optimized geometry

The polymorph energy (0 for the lowest one) is 12.32 kcal/mol of atoms. The calculation puts the total energy at -6.10 eV per atom. The calculation puts the density of states at the Fermi level at 12.28 states/eV/cell.

The structure belongs to space group I-42d (No. 122); the cell edges are 5.983, 5.983 and 10.637 Å and the angles 90.00°, 90.00° and 90.00°. Symmetry generates all atoms from Hf at (0.000, 0.000, 0.000), Si at (0.000, 0.000, 0.500) and S at (0.236, 0.250, 0.125).

***

Compound: Hf2Si2S
Source: Alexandria via LeMat-Bulk
Functional: PBE
Structure: optimized geometry

The calculation puts the total energy at -7.69 eV per atom. The calculation puts the density of states at the Fermi level at 4.76 states/eV/cell.

The structure belongs to space group P4/mbm (No. 127); the cell edges are 6.940, 6.940 and 3.768 Å and the angles 90.00°, 90.00° and 90.00°. Symmetry generates all atoms from Hf at (0.179, 0.321, 0.000), Si at (0.118, 0.618, 0.500) and S at (0.000, 0.000, 0.000).

***

Compound: HfSiS3
Source: Alexandria via LeMat-Bulk
Functional: PBE
Structure: optimized geometry

The polymorph energy (0 for the lowest one) is 0.00 kcal/mol of atoms. The calculation puts the total energy at -5.79 eV per atom. The calculation puts the density of states at the Fermi level at 0.51 states/eV/cell.

The structure belongs to space group Pm-3m (No. 221); the cell edges are 4.906, 4.906 and 4.906 Å and the angles 90.00°, 90.00° and 90.00°. Symmetry generates all atoms from Hf at (0.000, 0.000, 0.000), Si at (0.500, 0.500, 0.500) and S at (0.000, 0.000, 0.500).

***

Compound: HfSi2S
Source: Alexandria via LeMat-Bulk
Functional: PBE
Structure: optimized geometry

The polymorph energy (0 for the lowest one) is 7.85 kcal/mol of atoms. The calculation puts the total energy at -5.82 eV per atom. The calculation puts the density of states at the Fermi level at 12.37 states/eV/cell.

The structure belongs to space group Fm-3m (No. 225); the cell edges are 6.524, 6.524 and 6.524 Å and the angles 90.00°, 90.00° and 90.00°. Symmetry generates all atoms from Hf at (0.000, 0.000, 0.000), Si at (0.250, 0.250, 0.250) and S at (0.000, 0.000, 0.500).

***

Compound: HfSiS2
Source: Alexandria via LeMat-Bulk
Functional: PBE
Structure: optimized geometry

The polymorph energy (0 for the lowest one) is 9.38 kcal/mol of atoms. The calculation puts the total energy at -6.22 eV per atom. The calculation puts the density of states at the Fermi level at 17.64 states/eV/cell.

The structure belongs to space group Fm-3m (No. 225); the cell edges are 6.406, 6.406 and 6.406 Å and the angles 90.00°, 90.00° and 90.00°. Symmetry generates all atoms from Hf at (0.000, 0.000, 0.000), Si at (0.000, 0.000, 0.500) and S at (0.250, 0.250, 0.250).

***

no.,formation energy without anion corrections (eV per atom)
1,-0.62
2,-1.15
3,-0.72
4,-0.19
5,-0.71
6,-0.24
7,0.42
8,-0.32